4
Lattice="-0.9859 3.6150 -1.5592 1.2534 -1.2365 -3.6595 -3.7336 -1.3701 -0.8158" Properties=species:S:1:pos:R:3 comment="SnPt3 PBE optimized geometry" e_tot_ev_per_cell=-23.72 magmom_total_mub_per_cell=0.00 pbc="T T T"
Pt 0.3158 -0.7323 -1.8977
Pt -0.8043 1.6933 -0.8476
Pt -2.0438 0.3901 -3.0852
Sn -2.1784 -0.7994 -0.4760

=====

24
Lattice="-7.8751 3.6534 10.6698 -2.2575 -3.1848 -0.5757 6.4223 -5.7660 6.7144" Properties=species:S:1:pos:R:3 comment="NaYCoSe3 PBE optimized geometry" e_tot_ev_per_cell=-127.91 magmom_total_mub_per_cell=8.14 pbc="T T T"
Co -5.1697 -1.0065 5.5550
Co 0.9155 -4.7614 2.4654
Co -4.6258 -0.5361 14.3432
Co 1.4594 -4.2909 11.2536
Na -5.9720 1.5724 7.9573
Na 0.5313 -2.5578 5.3048
Na -4.2417 -2.7397 11.5037
Na 2.2616 -6.8699 8.8512
Se -8.2238 0.4472 9.4888
Se -3.1318 0.1024 4.9521
Se -5.2118 -1.4058 7.9286
Se -1.0568 -3.4277 2.8210
Se -5.2059 0.2561 12.2352
Se -1.9685 -3.4604 6.5770
Se -1.7418 -1.8371 10.2316
Se 1.4956 -5.5536 4.5734
Se -2.6536 -1.8698 13.9875
Se 1.5015 -3.8917 8.8800
Se -0.5786 -5.3999 11.8564
Se 4.5135 -5.7447 7.3198
Y 0.3144 -1.6452 1.1066
Y -2.4460 -0.8753 7.6722
Y -1.2643 -4.4221 9.1363
Y -4.0248 -3.6523 15.7019

=====

8
Lattice="2.9688 1.7140 7.1329 -2.9688 1.7140 7.1329 0.0000 -3.4281 7.1329" Properties=species:S:1:pos:R:3 comment="KRb2As2Pd3 PBE optimized geometry" e_tot_ev_per_cell=-30.83 pbc="T T T"
As 0.0000 0.0000 5.3567
As 0.0000 0.0000 16.0420
K 0.0000 0.0000 10.6994
Pd 0.0000 1.7140 7.1329
Pd 1.4844 -0.8570 7.1329
Pd -1.4844 -0.8570 7.1329
Rb 0.0000 0.0000 1.8532
Rb 0.0000 0.0000 19.5455

=====

3
Lattice="-1.9176 -2.9800 2.6253 -4.3284 -0.7751 -0.3371 -1.4322 -3.8192 -1.6770" Properties=species:S:1:pos:R:3 comment="BiIr2 PBE optimized geometry" e_tot_ev_per_cell=-19.62 magmom_total_mub_per_cell=0.01 pbc="T T T"
Bi 0.0000 0.0000 0.0000
Ir -1.9195 -1.8935 0.1528
Ir -5.7586 -5.6806 0.4584